Crystalline CaLaPPt at its relaxed geometry. Source: the Alexandria database, functional PBE-GGA.

Properties
The calculation puts the magnetization at 0.00 μB/cell. The calculated formation energy comes out at -1.060 eV/atom. Its volume is 23.14 Å³/atom.

a b c (Å): 5.0777 5.0777 5.0777
angles (deg): 60.00 60.00 60.00
Closest atoms and distances in Å follow each position.
Atoms (fractional coordinates):
1 Ca 0.0000 0.0000 0.0000  4 Pt 3.11, 4 P 3.11
2 La 0.5000 0.5000 0.5000  4 P 3.11, 4 Pt 3.11
3 P 0.7500 0.7500 0.7500  4 Ca 3.11, 4 La 3.11
4 Pt 0.2500 0.2500 0.2500  4 La 3.11, 4 Ca 3.11

=====

Crystalline RbCaLa2P at its relaxed geometry. Source: the Alexandria database, functional PBE-GGA.

Properties
The calculation puts the magnetization at 0.00 μB/cell. The calculated formation energy comes out at 1.064 eV/atom. Its volume is 38.00 Å³/atom.

a b c (Å): 5.7915 5.7915 5.6652
angles (deg): 90.00 90.00 90.00
Closest atoms and distances in Å follow each position.
Atoms (fractional coordinates):
1 Rb 0.0000 0.0000 0.0000  2 Ca 2.83
2 Ca 0.0000 0.0000 0.5000  2 Rb 2.83, 4 La 2.90
3 La 0.0000 0.5000 0.5000  2 Ca 2.90
4 La 0.5000 0.0000 0.5000  2 Ca 2.90
5 P 0.5000 0.5000 0.0000  8 La 4.05, 4 Rb 4.10

=====

Crystalline CaLa2ReP at its relaxed geometry. Source: the Alexandria database, functional PBE-GGA.

Properties
The calculation puts the magnetization at 0.00 μB/cell. The calculated formation energy comes out at -0.002 eV/atom. Its volume is 30.79 Å³/atom.

a b c (Å): 5.7671 5.7671 4.6288
angles (deg): 90.00 90.00 90.00
Closest atoms and distances in Å follow each position.
Atoms (fractional coordinates):
1 Ca 0.0000 0.0000 0.0000  8 La 3.70, 4 P 4.08
2 La 0.0000 0.5000 0.5000  2 Re 2.88
3 La 0.5000 0.0000 0.5000  2 Re 2.88
4 Re 0.5000 0.5000 0.5000  2 P 2.31
5 P 0.5000 0.5000 0.0000  2 Re 2.31

=====

Question: What is the formula in the first record?
Answer: CaLaPPt